(1)
The following is a DFT calculation (PBE) of an optimized crystal structure of AcScRuO6.

Cell lengths 5.3494, 5.3488, 5.3454 Å; angles 89.99, 89.99, 60.00 degrees
Closest atoms and distances in Å follow each position.
Fractional positions:
1 Ac 0.0000 0.0000 0.0000  6 O 2.52
2 Sc 0.6667 0.6666 0.5000  6 O 2.10-2.11
3 Ru 0.3333 0.3334 0.5000  6 O 1.95
4 O 0.0225 0.3585 0.2926  1 Ru 1.95, 1 Sc 2.11
5 O 0.3583 0.0224 0.7073  1 Ru 1.95, 1 Sc 2.10
6 O 0.6190 0.3584 0.7074  1 Ru 1.95, 1 Sc 2.11
7 O 0.0224 0.6191 0.7073  1 Ru 1.95, 1 Sc 2.10
8 O 0.3585 0.6191 0.2927  1 Ru 1.95, 1 Sc 2.10
9 O 0.6192 0.0225 0.2927  1 Ru 1.95, 1 Sc 2.10

The value obtained for the energy relative to the elements, uncorrected is -20.641 eV/f.u. The calculated density comes out at 5.88 g/cm³. As for the volume: 132.5 Å³/f.u.



(2)
The following is a DFT calculation (PBE) of an optimized crystal structure of LaNi2S.

Cell lengths 4.6088, 4.6088, 7.9309 Å; angles 73.11, 73.11, 90.00 degrees
Closest atoms and distances in Å follow each position.
Fractional positions:
1 Ni 0.3976 0.1250 0.2500  2 S 2.15, 2 Ni 2.31
2 Ni 0.3524 0.6250 0.2500  2 S 2.15, 2 Ni 2.31
3 Ni 0.3750 0.6024 0.7500  2 S 2.15, 2 Ni 2.31
4 Ni 0.8750 0.6476 0.7500  2 S 2.15, 2 Ni 2.31
5 S 0.5000 0.5000 0.0000  4 Ni 2.15
6 S 0.2500 0.7500 0.5000  4 Ni 2.15
7 La 0.0000 0.0000 0.0000  8 Ni 3.07-3.22, 4 S 3.26
8 La 0.7500 0.2500 0.5000  8 Ni 3.07-3.22, 4 S 3.26

The value obtained for the energy relative to the elements, uncorrected is -2.715 eV/f.u. The calculated density comes out at 6.24 g/cm³. As for the volume: 76.8 Å³/f.u.



(3)
The following is a DFT calculation (PBE) of an optimized crystal structure of EuIn4Bi.

Cell lengths 6.2629, 6.2629, 6.2629 Å; angles 60.00, 60.00, 60.00 degrees
Closest atoms and distances in Å follow each position.
Fractional positions:
1 Eu 0.2500 0.2500 0.2500  12 In 3.67, 4 Bi 3.84
2 Bi 0.0000 0.0000 0.0000  12 In 3.67, 4 Eu 3.84
3 In 0.6251 0.6251 0.1248  6 In 3.13
4 In 0.6251 0.1248 0.6251  6 In 3.13
5 In 0.6251 0.6251 0.6251  6 In 3.13
6 In 0.1248 0.6251 0.6251  6 In 3.13

The calculated density comes out at 7.84 g/cm³. As for the volume: 173.7 Å³/f.u. The formation energy comes out at -164 meV per atom.



Please write out number 2 again, unchanged.
The following is a DFT calculation (PBE) of an optimized crystal structure of LaNi2S.

Cell lengths 4.6088, 4.6088, 7.9309 Å; angles 73.11, 73.11, 90.00 degrees
Closest atoms and distances in Å follow each position.
Fractional positions:
1 Ni 0.3976 0.1250 0.2500  2 S 2.15, 2 Ni 2.31
2 Ni 0.3524 0.6250 0.2500  2 S 2.15, 2 Ni 2.31
3 Ni 0.3750 0.6024 0.7500  2 S 2.15, 2 Ni 2.31
4 Ni 0.8750 0.6476 0.7500  2 S 2.15, 2 Ni 2.31
5 S 0.5000 0.5000 0.0000  4 Ni 2.15
6 S 0.2500 0.7500 0.5000  4 Ni 2.15
7 La 0.0000 0.0000 0.0000  8 Ni 3.07-3.22, 4 S 3.26
8 La 0.7500 0.2500 0.5000  8 Ni 3.07-3.22, 4 S 3.26

The value obtained for the energy relative to the elements, uncorrected is -2.715 eV/f.u. The calculated density comes out at 6.24 g/cm³. As for the volume: 76.8 Å³/f.u.



Please write out number 1 again, unchanged.
The following is a DFT calculation (PBE) of an optimized crystal structure of AcScRuO6.

Cell lengths 5.3494, 5.3488, 5.3454 Å; angles 89.99, 89.99, 60.00 degrees
Closest atoms and distances in Å follow each position.
Fractional positions:
1 Ac 0.0000 0.0000 0.0000  6 O 2.52
2 Sc 0.6667 0.6666 0.5000  6 O 2.10-2.11
3 Ru 0.3333 0.3334 0.5000  6 O 1.95
4 O 0.0225 0.3585 0.2926  1 Ru 1.95, 1 Sc 2.11
5 O 0.3583 0.0224 0.7073  1 Ru 1.95, 1 Sc 2.10
6 O 0.6190 0.3584 0.7074  1 Ru 1.95, 1 Sc 2.11
7 O 0.0224 0.6191 0.7073  1 Ru 1.95, 1 Sc 2.10
8 O 0.3585 0.6191 0.2927  1 Ru 1.95, 1 Sc 2.10
9 O 0.6192 0.0225 0.2927  1 Ru 1.95, 1 Sc 2.10

The value obtained for the energy relative to the elements, uncorrected is -20.641 eV/f.u. The calculated density comes out at 5.88 g/cm³. As for the volume: 132.5 Å³/f.u.



What is the volume in the third record?
173.7 Å³/f.u.